A plane-wave DFT calculation with PBE was carried out for a relaxed structure of CdSb2Rh.

The space group is I-4m2 (No. 119) and the conventional cell measures 4.346, 4.346 and 9.101 Å, with angles of 90.00, 90.00 and 90.00 degrees. Symmetry generates all atoms from Cd at (0.000, 0.000, 0.000), Sb at (0.000, 0.000, 0.500), Sb at (0.000, 0.500, 0.250) and Rh at (0.000, 0.500, 0.750).

Its density of states at the Fermi level is 4.2 states/eV per cell. Its crystal system is tetragonal. The uncorrected formation energy is 3.5 kcal/mol of atoms. For the total magnetic moment, the calculation gives 0.00 Bohr magnetons per cell.